Entry 1:
## CeDyHo2Er (GGA-PBE)

Data for an optimized crystal structure of CeDyHo2Er.

```
10
Lattice="8.269 -2.785 0.000 8.269 2.785 0.000 -1.451 0.000 6.772" Properties=species:S:1:pos:R:3 pbc="T T T"
Ce 0.000 0.000 0.000
Ce -0.726 0.000 3.386
Dy 5.615 0.000 4.744
Dy 9.473 0.000 2.028
Ho 2.260 0.000 5.795
Ho 6.344 0.000 1.360
Ho 8.744 0.000 5.412
Ho 12.828 0.000 0.978
Er 2.985 0.000 2.411
Er 12.103 0.000 4.361
```

## Properties
Space-group type ... C2/m (12)
Formation energy ... 0.077 eV per atom

Entry 2:
## TaAlRe2 (GGA-PBE)

Data for an optimized crystal structure of TaAlRe2.

```
12
Lattice="2.831 0.000 0.000 -1.416 2.452 0.000 0.000 0.000 27.510" Properties=species:S:1:pos:R:3 pbc="T T T"
Ta 0.000 0.000 0.000
Ta 0.000 1.635 18.340
Ta 1.416 0.817 9.170
Al 0.000 0.000 20.754
Al 0.000 1.635 11.584
Al 1.416 0.817 2.414
Re 0.000 0.000 6.735
Re 0.000 0.000 13.786
Re 0.000 1.635 4.616
Re 0.000 1.635 25.075
Re 1.416 0.817 15.905
Re 1.416 0.817 22.956
```

## Properties
Space-group type ... R3m (160)
Formation energy ... -0.011 eV per atom

Entry 3:
## CrMo2Rh (GGA-PBE)

Data for an optimized crystal structure of CrMo2Rh.

```
4
Lattice="3.120 0.000 0.000 0.000 3.120 0.000 0.000 0.000 6.080" Properties=species:S:1:pos:R:3 pbc="T T T"
Cr 0.000 0.000 0.000
Mo 0.000 0.000 2.913
Mo 1.560 1.560 1.361
Rh 1.560 1.560 4.523
```

## Properties
Space-group type ... P4mm (99)
Formation energy ... 0.111 eV per atom

Entry 4:
## GdPuAsAu (GGA-PBE)

Data for an optimized crystal structure of GdPuAsAu.

```
16
Lattice="7.244 0.000 0.000 0.000 7.244 0.000 0.000 0.000 7.244" Properties=species:S:1:pos:R:3 pbc="T T T"
Gd 0.000 0.000 0.000
Gd 0.000 3.622 3.622
Gd 3.622 0.000 3.622
Gd 3.622 3.622 0.000
Pu 0.000 0.000 3.622
Pu 0.000 3.622 0.000
Pu 3.622 0.000 0.000
Pu 3.622 3.622 3.622
As 1.811 1.811 1.811
As 1.811 5.433 5.433
As 5.433 1.811 5.433
As 5.433 5.433 1.811
Au 1.811 1.811 5.433
Au 1.811 5.433 1.811
Au 5.433 1.811 1.811
Au 5.433 5.433 5.433
```

## Properties
Space-group type ... F-43m (216)
Formation energy ... -0.724 eV per atom

Entry 5:
## LiCa4Mg (GGA-PBE)

Data for an optimized crystal structure of LiCa4Mg.

```
6
Lattice="0.000 4.936 4.936 4.936 0.000 4.936 4.936 4.936 0.000" Properties=species:S:1:pos:R:3 pbc="T T T"
Li 0.000 0.000 0.000
Ca 3.705 3.705 3.705
Ca 6.168 6.168 3.705
Ca 6.168 3.705 6.168
Ca 3.705 6.168 6.168
Mg 7.405 7.405 7.405
```

## Properties
Space-group type ... F-43m (216)
Formation energy ... 0.315 eV per atom